[1]
! Ta4NbW2 (PBE-GGA, relaxed); values from VASP
! Distance to the lowest polymorph of the same formula ... 0.000 eV/atom
! Crystal system ... tetragonal
! Total magnetization ... 0.000 μB/f.u.
! N(E_F) ... 1.28 states/eV/atom
! Energy relative to the elements ... 0.39 eV per atom
&SYSTEM
  ibrav = 0, nat = 14, ntyp = 3
/
ATOMIC_SPECIES
Ta 180.95 Ta.upf
Nb 92.91 Nb.upf
W 183.84 W.upf
ATOMIC_POSITIONS crystal
Ta 0.000 0.500 0.125
Ta 0.000 0.500 0.375
Ta 0.000 0.500 0.625
Ta 0.000 0.500 0.875
Ta 0.500 0.000 0.125
Ta 0.500 0.000 0.375
Ta 0.500 0.000 0.625
Ta 0.500 0.000 0.875
Nb 0.000 0.000 0.000
Nb 0.500 0.500 0.500
W 0.000 0.000 0.248
W 0.000 0.000 0.752
W 0.500 0.500 0.252
W 0.500 0.500 0.748
CELL_PARAMETERS angstrom
4.504 0.000 0.000
0.000 4.504 0.000
0.000 0.000 13.151

=====

[2]
! Li2PrRh (PBE-GGA, relaxed); values from VASP
! Distance to the lowest polymorph of the same formula ... 0.000 eV/atom
! Crystal system ... tetragonal
! Total magnetization ... 0.000 μB/f.u.
! N(E_F) ... 0.54 states/eV/atom
! Energy relative to the elements ... -0.29 eV per atom
&SYSTEM
  ibrav = 0, nat = 8, ntyp = 3
/
ATOMIC_SPECIES
Li 6.94 Li.upf
Pr 140.91 Pr.upf
Rh 102.91 Rh.upf
ATOMIC_POSITIONS crystal
Li 0.000 0.500 0.250
Li 0.000 0.500 0.750
Li 0.500 0.000 0.250
Li 0.500 0.000 0.750
Pr 0.000 0.000 0.000
Pr 0.500 0.500 0.500
Rh 0.000 0.000 0.500
Rh 0.500 0.500 0.000
CELL_PARAMETERS angstrom
4.060 0.000 0.000
0.000 4.060 0.000
0.000 0.000 9.301

=====

[3]
! Np2ZnSb4 (PBE-GGA, relaxed); values from VASP
! Formation energy from raw total energies ... -0.22 eV/atom
! Crystal system ... tetragonal
! Total magnetization ... 7.569 μB/f.u.
! N(E_F) ... 2.91 states/eV/atom
&SYSTEM
  ibrav = 0, nat = 7, ntyp = 3
/
ATOMIC_SPECIES
Np 237.00 Np.upf
Zn 65.41 Zn.upf
Sb 121.76 Sb.upf
ATOMIC_POSITIONS crystal
Np 0.000 0.500 0.246
Np 0.500 0.000 0.754
Zn 0.500 0.500 0.000
Sb 0.000 0.000 0.500
Sb 0.000 0.500 0.834
Sb 0.500 0.000 0.166
Sb 0.500 0.500 0.500
CELL_PARAMETERS angstrom
4.357 0.000 0.000
0.000 4.357 0.000
0.000 0.000 9.597

=====

[4]
! AsAuSe2N (PBE-GGA, relaxed); values from VASP
! Distance to the lowest polymorph of the same formula ... 0.032 eV/atom
! Formation energy from raw total energies ... 0.97 eV/atom
! Crystal system ... tetragonal
! Total magnetization ... 0.000 μB/f.u.
! N(E_F) ... 0.91 states/eV/atom
&SYSTEM
  ibrav = 0, nat = 5, ntyp = 4
/
ATOMIC_SPECIES
As 74.92 As.upf
Au 196.97 Au.upf
Se 78.96 Se.upf
N 14.01 N.upf
ATOMIC_POSITIONS crystal
As 0.000 0.000 0.000
Au 0.500 0.500 0.000
Se 0.000 0.500 0.500
Se 0.500 0.000 0.500
N 0.000 0.000 0.500
CELL_PARAMETERS angstrom
4.529 0.000 0.000
0.000 4.529 0.000
0.000 0.000 4.301